Record 1
{
  "formula": "CsCaVW2",
  "functional": "PBE-GGA",
  "state": "optimized geometry",
  "lattice": [[-0.941, -4.351, 1.402], [1.324, -2.046, -5.463], [4.453, -0.549, 1.285]],
  "species": ["Ca", "Cs", "W", "W", "V"],
  "fractional_positions": [[0.500, 0.500, 0.500], [0.000, 0.500, 0.000], [0.000, 0.000, 0.500], [0.500, 0.000, 0.000], [0.000, 0.000, 0.000]],
  "density_g_cm3": 7.5,
  "m_tot_mub_per_cell": 0.00,
  "sg": "P4/mmm (123)",
  "formation_enthalpy_0k_ev_per_atom": 1.80
}

***

Record 2
{
  "formula": "SrCa12",
  "functional": "PBE-GGA",
  "state": "optimized geometry",
  "lattice": [[-3.717, 4.461, -4.237], [-1.251, -3.693, -8.888], [-9.551, -1.628, 0.568]],
  "species": ["Ca", "Ca", "Ca", "Ca", "Ca", "Ca", "Ca", "Ca", "Ca", "Ca", "Ca", "Ca", "Sr"],
  "fractional_positions": [[0.500, 0.215, 0.785], [0.000, 0.355, 0.645], [0.645, 0.355, 0.355], [0.355, 0.645, 0.645], [0.285, 0.215, 0.215], [0.000, 0.000, 0.500], [0.715, 0.785, 0.785], [0.000, 0.645, 0.355], [0.500, 0.785, 0.215], [0.000, 0.500, 0.000], [0.500, 0.000, 0.500], [0.500, 0.500, 0.000], [0.000, 0.000, 0.000]],
  "density_g_cm3": 1.6,
  "m_tot_mub_per_cell": 0.00,
  "sg": "I4/mmm (139)",
  "formation_enthalpy_0k_ev_per_atom": 0.07
}

***

Record 3
{
  "formula": "RbCS3",
  "functional": "PBE-GGA",
  "state": "optimized geometry",
  "lattice": [[6.141, 0.000, 0.000], [0.000, 6.141, 0.000], [0.000, 0.000, 6.141]],
  "species": ["Rb", "S", "S", "S", "C"],
  "fractional_positions": [[0.000, 0.000, 0.000], [0.000, 0.000, 0.500], [0.500, 0.000, 0.000], [0.000, 0.500, 0.000], [0.500, 0.500, 0.500]],
  "density_g_cm3": 1.4,
  "m_tot_mub_per_cell": 4.83,
  "sg": "Pm-3m (221)",
  "formation_energy_uncorrected_ev_per_atom": 2.766
}

***

Record 4
{
  "formula": "Ca2YRe",
  "functional": "PBE-GGA",
  "state": "optimized geometry",
  "lattice": [[5.930, 0.025, -0.708], [-0.020, 4.923, 0.003], [-3.461, -2.479, 4.189]],
  "species": ["Y", "Re", "Ca", "Ca"],
  "fractional_positions": [[0.782, 0.218, 0.436], [0.458, 0.542, 0.084], [0.020, 0.980, 0.959], [0.239, 0.761, 0.521]],
  "density_g_cm3": 5.4,
  "m_tot_mub_per_cell": 0.00,
  "sg": "R3m (160)",
  "formation_enthalpy_0k_ev_per_atom": 0.50
}

***

Record 5
{
  "formula": "HfGaCo2",
  "functional": "PBE-GGA",
  "state": "optimized geometry",
  "lattice": [[-2.043, 2.507, 0.289], [-3.182, -2.602, 0.080], [0.293, -0.233, 4.094]],
  "species": ["Hf", "Co", "Co", "Ga"],
  "fractional_positions": [[0.500, 0.500, 0.500], [0.000, 0.000, 0.500], [0.000, 0.500, 0.000], [0.500, 0.000, 0.000]],
  "density_g_cm3": 11.1,
  "m_tot_mub_per_cell": 0.21,
  "sg": "P4/mmm (123)",
  "formation_enthalpy_0k_ev_per_atom": -0.39
}

***

Record 6
{
  "formula": "SmMg4Ga2",
  "functional": "PBE-GGA",
  "state": "optimized geometry",
  "lattice": [[4.337, 0.000, 0.000], [0.000, 8.472, 0.000], [0.000, 0.000, 8.472]],
  "species": ["Ga", "Ga", "Ga", "Ga", "Mg", "Mg", "Mg", "Mg", "Mg", "Mg", "Mg", "Mg", "Sm", "Sm"],
  "fractional_positions": [[0.500, 0.303, 0.303], [0.500, 0.697, 0.697], [0.000, 0.197, 0.803], [0.000, 0.803, 0.197], [0.000, 0.337, 0.096], [0.500, 0.837, 0.404], [0.500, 0.596, 0.163], [0.500, 0.404, 0.837], [0.000, 0.904, 0.663], [0.000, 0.663, 0.904], [0.500, 0.163, 0.596], [0.000, 0.096, 0.337], [0.500, 0.000, 0.000], [0.000, 0.500, 0.500]],
  "density_g_cm3": 4.1,
  "m_tot_mub_per_cell": 0.00,
  "sg": "P4_2/mnm (136)",
  "formation_enthalpy_0k_ev_per_atom": -0.27
}

***

Record 7
{
  "formula": "Co2HgBr",
  "functional": "PBE-GGA",
  "state": "optimized geometry",
  "lattice": [[4.016, 0.108, -0.091], [2.016, 3.475, -0.091], [2.426, 1.441, 6.216]],
  "species": ["Hg", "Br", "Co", "Co"],
  "fractional_positions": [[0.428, 0.428, 0.614], [0.405, 0.405, 0.175], [0.680, 0.680, 0.832], [0.988, 0.988, 0.879]],
  "density_g_cm3": 7.7,
  "m_tot_mub_per_cell": 3.54,
  "sg": "Cm (8)",
  "formation_energy_uncorrected_ev_per_atom": 0.359
}

***

Record 8
{
  "formula": "Sm4Ho3S8",
  "functional": "PBE-GGA",
  "state": "optimized geometry",
  "lattice": [[-1.928, -6.960, 3.205], [-0.265, 0.957, -7.830], [7.511, 2.426, 0.039]],
  "species": ["S", "S", "S", "S", "S", "S", "S", "S", "Ho", "Ho", "Ho", "Sm", "Sm", "Sm", "Sm"],
  "fractional_positions": [[0.000, 0.253, 0.747], [0.992, 0.743, 0.743], [0.500, 0.254, 0.746], [0.500, 0.746, 0.254], [0.000, 0.747, 0.253], [0.493, 0.743, 0.743], [0.507, 0.257, 0.257], [0.008, 0.257, 0.257], [0.500, 0.500, 0.000], [0.500, 0.500, 0.500], [0.500, 0.000, 0.500], [0.500, 0.000, 0.000], [0.000, 0.500, 0.000], [0.000, 0.000, 0.000], [0.000, 0.000, 0.500]],
  "density_g_cm3": 6.5,
  "m_tot_mub_per_cell": 0.00,
  "sg": "C2/m (12)",
  "formation_energy_uncorrected_ev_per_atom": -2.034
}

***

Please write out number 3 again, unchanged.
{
  "formula": "RbCS3",
  "functional": "PBE-GGA",
  "state": "optimized geometry",
  "lattice": [[6.141, 0.000, 0.000], [0.000, 6.141, 0.000], [0.000, 0.000, 6.141]],
  "species": ["Rb", "S", "S", "S", "C"],
  "fractional_positions": [[0.000, 0.000, 0.000], [0.000, 0.000, 0.500], [0.500, 0.000, 0.000], [0.000, 0.500, 0.000], [0.500, 0.500, 0.500]],
  "density_g_cm3": 1.4,
  "m_tot_mub_per_cell": 4.83,
  "sg": "Pm-3m (221)",
  "formation_energy_uncorrected_ev_per_atom": 2.766
}

***

What is the formula in the sixth record? SmMg4Ga2